# NaTeN2

A geometry-optimized NaTeN2 structure (GGA-PBE, Alexandria via LeMat-Bulk).

```
data_NaTeN2
_cell_length_a 5.014
_cell_length_b 6.225
_cell_length_c 8.506
_cell_angle_alpha 89.88
_cell_angle_beta 88.71
_cell_angle_gamma 89.93
_space_group_name_H-M_alt 'P 1'
_space_group_IT_number 1
loop_
_space_group_symop_operation_xyz
'x,y,z'
loop_
_atom_site_label
_atom_site_fract_x
_atom_site_fract_y
_atom_site_fract_z
_atom_site_occupancy
Na1 0.006 0.250 0.375 1
Na2 0.994 0.750 0.625 1
Te1 0.500 0.000 0.500 1
Te2 0.500 0.500 0.500 1
N1 0.171 0.750 0.913 1
N2 0.293 0.750 0.021 1
N3 0.707 0.250 0.979 1
N4 0.829 0.250 0.087 1
```

Summary:
Total magnetization: 0.000 μB/cell
ρ: 2.2 g cm⁻³
SG: P-1, No. 2
Excess energy over the best structure of this formula in the dataset: 0 meV/atom

=====

# Ac3BeO6

A geometry-optimized Ac3BeO6 structure (GGA-PBE, Alexandria via LeMat-Bulk).

```
data_Ac3BeO6
_cell_length_a 7.775
_cell_length_b 7.775
_cell_length_c 5.617
_cell_angle_alpha 90.00
_cell_angle_beta 90.00
_cell_angle_gamma 102.68
_space_group_name_H-M_alt 'P 1'
_space_group_IT_number 1
loop_
_space_group_symop_operation_xyz
'x,y,z'
loop_
_atom_site_label
_atom_site_fract_x
_atom_site_fract_y
_atom_site_fract_z
_atom_site_occupancy
Ac1 0.111 0.889 0.500 1
Ac2 0.194 0.422 0.464 1
Ac3 0.422 0.194 0.964 1
Ac4 0.578 0.806 0.464 1
Ac5 0.806 0.578 0.964 1
Ac6 0.889 0.111 0.000 1
Be1 0.304 0.696 0.922 1
Be2 0.696 0.304 0.422 1
O1 0.107 0.615 0.785 1
O2 0.150 0.168 0.727 1
O3 0.168 0.150 0.227 1
O4 0.288 0.712 0.219 1
O5 0.385 0.893 0.785 1
O6 0.442 0.558 0.839 1
O7 0.558 0.442 0.339 1
O8 0.615 0.107 0.285 1
O9 0.712 0.288 0.719 1
O10 0.832 0.850 0.727 1
O11 0.850 0.832 0.227 1
O12 0.893 0.385 0.285 1
```

Summary:
Total magnetization: 2.159 μB/cell
DFT total energy: -150.3 eV/cell
ρ: 7.9 g cm⁻³
SG: Cmc2_1, No. 36

=====

# ZnGaAs2

A geometry-optimized ZnGaAs2 structure (GGA-PBE, Alexandria via LeMat-Bulk).

```
data_ZnGaAs2
_cell_length_a 6.664
_cell_length_b 6.664
_cell_length_c 6.664
_cell_angle_alpha 90.00
_cell_angle_beta 90.00
_cell_angle_gamma 90.00
_space_group_name_H-M_alt 'P 1'
_space_group_IT_number 1
loop_
_space_group_symop_operation_xyz
'x,y,z'
loop_
_atom_site_label
_atom_site_fract_x
_atom_site_fract_y
_atom_site_fract_z
_atom_site_occupancy
Zn1 0.000 0.000 0.000 1
Zn2 0.000 0.500 0.500 1
Zn3 0.500 0.000 0.500 1
Zn4 0.500 0.500 0.000 1
Ga1 0.000 0.000 0.500 1
Ga2 0.000 0.500 0.000 1
Ga3 0.500 0.000 0.000 1
Ga4 0.500 0.500 0.500 1
As1 0.250 0.250 0.250 1
As2 0.250 0.250 0.750 1
As3 0.250 0.750 0.250 1
As4 0.250 0.750 0.750 1
As5 0.750 0.250 0.250 1
As6 0.750 0.250 0.750 1
As7 0.750 0.750 0.250 1
As8 0.750 0.750 0.750 1
```

Summary:
Total magnetization: 0.000 μB/cell
ρ: 6.4 g cm⁻³
SG: Fm-3m, No. 225
Excess energy over the best structure of this formula in the dataset: 388 meV/atom

=====

# TiAlCdCu2

A geometry-optimized TiAlCdCu2 structure (GGA-PBE, Alexandria via LeMat-Bulk).

```
data_TiAlCdCu2
_cell_length_a 4.659
_cell_length_b 4.659
_cell_length_c 4.788
_cell_angle_alpha 90.00
_cell_angle_beta 90.00
_cell_angle_gamma 90.00
_space_group_name_H-M_alt 'P 1'
_space_group_IT_number 1
loop_
_space_group_symop_operation_xyz
'x,y,z'
loop_
_atom_site_label
_atom_site_fract_x
_atom_site_fract_y
_atom_site_fract_z
_atom_site_occupancy
Ti1 0.000 0.000 0.000 1
Al1 0.500 0.500 0.000 1
Cd1 0.500 0.500 0.500 1
Cu1 0.000 0.500 0.500 1
Cu2 0.500 0.000 0.500 1
```

Summary:
Total magnetization: 0.000 μB/cell
DFT total energy: -15.8 eV/cell
ρ: 5.0 g cm⁻³
SG: P4/mmm, No. 123

=====

# InSb2TeF

A geometry-optimized InSb2TeF structure (GGA-PBE, Alexandria via LeMat-Bulk).

```
data_InSb2TeF
_cell_length_a 5.673
_cell_length_b 5.673
_cell_length_c 5.621
_cell_angle_alpha 90.00
_cell_angle_beta 90.00
_cell_angle_gamma 90.00
_space_group_name_H-M_alt 'P 1'
_space_group_IT_number 1
loop_
_space_group_symop_operation_xyz
'x,y,z'
loop_
_atom_site_label
_atom_site_fract_x
_atom_site_fract_y
_atom_site_fract_z
_atom_site_occupancy
In1 0.000 0.000 0.000 1
Sb1 0.000 0.500 0.000 1
Sb2 0.500 0.000 0.000 1
Te1 0.000 0.000 0.500 1
F1 0.500 0.500 0.500 1
```

Summary:
Total magnetization: 0.000 μB/cell
ρ: 4.6 g cm⁻³
SG: P4/mmm, No. 123
Excess energy over the best structure of this formula in the dataset: 547 meV/atom

=====

# CaBeP2

A geometry-optimized CaBeP2 structure (GGA-PBE, Alexandria via LeMat-Bulk).

```
data_CaBeP2
_cell_length_a 3.818
_cell_length_b 3.818
_cell_length_c 9.046
_cell_angle_alpha 90.00
_cell_angle_beta 90.00
_cell_angle_gamma 90.00
_space_group_name_H-M_alt 'P 1'
_space_group_IT_number 1
loop_
_space_group_symop_operation_xyz
'x,y,z'
loop_
_atom_site_label
_atom_site_fract_x
_atom_site_fract_y
_atom_site_fract_z
_atom_site_occupancy
Ca1 0.000 0.000 0.000 1
Ca2 0.500 0.500 0.500 1
Be1 0.000 0.500 0.250 1
Be2 0.500 0.000 0.750 1
P1 0.000 0.000 0.500 1
P2 0.000 0.500 0.750 1
P3 0.500 0.000 0.250 1
P4 0.500 0.500 0.000 1
```

Summary:
Total magnetization: 0.000 μB/cell
DFT total energy: -32.6 eV/cell
ρ: 2.8 g cm⁻³
SG: I-4m2, No. 119

=====

# MgRe2P

A geometry-optimized MgRe2P structure (GGA-PBE, Alexandria via LeMat-Bulk).

```
data_MgRe2P
_cell_length_a 2.913
_cell_length_b 2.913
_cell_length_c 25.452
_cell_angle_alpha 90.00
_cell_angle_beta 90.00
_cell_angle_gamma 120.00
_space_group_name_H-M_alt 'P 1'
_space_group_IT_number 1
loop_
_space_group_symop_operation_xyz
'x,y,z'
loop_
_atom_site_label
_atom_site_fract_x
_atom_site_fract_y
_atom_site_fract_z
_atom_site_occupancy
Mg1 0.000 0.000 0.000 1
Mg2 0.333 0.667 0.667 1
Mg3 0.667 0.333 0.333 1
Re1 0.000 0.000 0.244 1
Re2 0.000 0.000 0.493 1
Re3 0.333 0.667 0.159 1
Re4 0.333 0.667 0.910 1
Re5 0.667 0.333 0.577 1
Re6 0.667 0.333 0.826 1
P1 0.000 0.000 0.758 1
P2 0.333 0.667 0.425 1
P3 0.667 0.333 0.091 1
```

Summary:
Total magnetization: 0.000 μB/cell
ρ: 11.4 g cm⁻³
SG: R3m, No. 160
Excess energy over the best structure of this formula in the dataset: 71 meV/atom

=====

# ScZnOs

A geometry-optimized ScZnOs structure (GGA-PBE, Alexandria via LeMat-Bulk).

```
data_ScZnOs
_cell_length_a 5.095
_cell_length_b 5.221
_cell_length_c 7.451
_cell_angle_alpha 90.00
_cell_angle_beta 90.00
_cell_angle_gamma 90.00
_space_group_name_H-M_alt 'P 1'
_space_group_IT_number 1
loop_
_space_group_symop_operation_xyz
'x,y,z'
loop_
_atom_site_label
_atom_site_fract_x
_atom_site_fract_y
_atom_site_fract_z
_atom_site_occupancy
Sc1 0.000 0.250 0.134 1
Sc2 0.000 0.750 0.866 1
Sc3 0.500 0.250 0.366 1
Sc4 0.500 0.750 0.634 1
Zn1 0.250 0.250 0.750 1
Zn2 0.250 0.750 0.250 1
Zn3 0.750 0.250 0.750 1
Zn4 0.750 0.750 0.250 1
Os1 0.000 0.000 0.500 1
Os2 0.000 0.500 0.500 1
Os3 0.500 0.000 0.000 1
Os4 0.500 0.500 0.000 1
```

Summary:
Total magnetization: 0.000 μB/cell
DFT total energy: -79.5 eV/cell
ρ: 10.1 g cm⁻³
SG: Imma, No. 74